# 1
Pm4ErTm5 after structural relaxation, computed with GGA-PBE.

a b c (Å): 8.075 8.075 8.075
angles (deg): 97.58 97.58 137.40
Atoms (fractional coordinates):
Pm: 0.000 0.323 0.323
Pm: 0.000 0.677 0.677
Pm: 0.323 0.000 0.323
Pm: 0.677 0.000 0.677
Er: 0.760 0.760 0.000
Tm: 0.238 0.238 0.000
Tm: 0.309 0.309 0.622
Tm: 0.309 0.687 0.000
Tm: 0.687 0.309 0.000
Tm: 0.687 0.687 0.378

Properties
Its formation enthalpy at 0 K is 236 kJ/mol of formula units. The calculation puts the magnetic moment at 0.000 μB/cell. For the density, the calculation gives 7.96 g cm⁻³. The calculation puts the offset from the most stable computed form at 0.049 eV per atom.

***

# 2
Na2TaV after structural relaxation, computed with GGA-PBE.

a b c (Å): 6.958 6.958 6.958
angles (deg): 90.00 90.00 90.00
Atoms (fractional coordinates):
Na: 0.250 0.250 0.250
Na: 0.250 0.250 0.750
Na: 0.250 0.750 0.250
Na: 0.250 0.750 0.750
Na: 0.750 0.250 0.250
Na: 0.750 0.250 0.750
Na: 0.750 0.750 0.250
Na: 0.750 0.750 0.750
Ta: 0.000 0.000 0.000
Ta: 0.000 0.500 0.500
Ta: 0.500 0.000 0.500
Ta: 0.500 0.500 0.000
V: 0.000 0.000 0.500
V: 0.000 0.500 0.000
V: 0.500 0.000 0.000
V: 0.500 0.500 0.500

Properties
Its formation enthalpy at 0 K is 624 kJ/mol of formula units. The calculation puts the magnetic moment at 4.798 μB/cell. For the density, the calculation gives 5.48 g cm⁻³. The calculation puts the offset from the most stable computed form at 0.149 eV per atom.

***

# 3
Li2TmAl after structural relaxation, computed with GGA-PBE.

a b c (Å): 6.652 6.652 6.652
angles (deg): 90.00 90.00 90.00
Atoms (fractional coordinates):
Li: 0.250 0.250 0.250
Li: 0.250 0.250 0.750
Li: 0.250 0.750 0.250
Li: 0.250 0.750 0.750
Li: 0.750 0.250 0.250
Li: 0.750 0.250 0.750
Li: 0.750 0.750 0.250
Li: 0.750 0.750 0.750
Tm: 0.000 0.000 0.000
Tm: 0.000 0.500 0.500
Tm: 0.500 0.000 0.500
Tm: 0.500 0.500 0.000
Al: 0.000 0.000 0.500
Al: 0.000 0.500 0.000
Al: 0.500 0.000 0.000
Al: 0.500 0.500 0.500

Properties
Its formation enthalpy at 0 K is -57 kJ/mol of formula units. The calculation puts the magnetic moment at 0.000 μB/cell. For the density, the calculation gives 4.73 g cm⁻³.

***

# 4
Zr3BiMo after structural relaxation, computed with GGA-PBE.

a b c (Å): 5.287 5.287 5.287
angles (deg): 90.00 90.00 90.00
Atoms (fractional coordinates):
Zr: 0.000 0.000 0.500
Zr: 0.000 0.500 0.000
Zr: 0.500 0.000 0.000
Bi: 0.000 0.000 0.000
Mo: 0.500 0.500 0.500

Properties
Its formation enthalpy at 0 K is 793 kJ/mol of formula units. The calculation puts the magnetic moment at 0.001 μB/cell. For the density, the calculation gives 6.50 g cm⁻³. The calculation puts the offset from the most stable computed form at 1.148 eV per atom.

***

# 5
LaSbTeI2 after structural relaxation, computed with GGA-PBE.

a b c (Å): 5.851 5.851 6.010
angles (deg): 90.00 90.00 90.00
Atoms (fractional coordinates):
La: 0.000 0.000 0.000
Sb: 0.500 0.500 0.500
Te: 0.500 0.500 0.000
I: 0.000 0.500 0.500
I: 0.500 0.000 0.500

Properties
The calculation puts the magnetic moment at 0.236 μB/cell. For the density, the calculation gives 5.18 g cm⁻³. The calculation puts the offset from the most stable computed form at 0.288 eV per atom.

***

# 6
Pr4SeS3 after structural relaxation, computed with GGA-PBE.

a b c (Å): 5.869 5.869 5.869
angles (deg): 90.00 90.00 90.00
Atoms (fractional coordinates):
Pr: 0.000 0.000 0.000
Pr: 0.000 0.500 0.500
Pr: 0.500 0.000 0.500
Pr: 0.500 0.500 0.000
Se: 0.500 0.500 0.500
S: 0.000 0.000 0.500
S: 0.000 0.500 0.000
S: 0.500 0.000 0.000

Properties
The calculation puts the magnetic moment at 0.000 μB/cell. For the density, the calculation gives 6.07 g cm⁻³. The calculation puts the offset from the most stable computed form at 0.025 eV per atom.

***

# 7
Cs5SiTe4Cl2 after structural relaxation, computed with GGA-PBE.

a b c (Å): 10.903 7.736 7.736
angles (deg): 109.50 90.00 90.00
Atoms (fractional coordinates):
Cs: 0.000 0.000 0.000
Cs: 0.242 0.322 0.737
Cs: 0.242 0.737 0.322
Cs: 0.758 0.322 0.737
Cs: 0.758 0.737 0.322
Si: 0.500 0.049 0.049
Te: 0.307 0.200 0.200
Te: 0.500 0.699 0.965
Te: 0.500 0.965 0.699
Te: 0.693 0.200 0.200
Cl: 0.000 0.005 0.561
Cl: 0.000 0.561 0.005

Properties
The calculation puts the magnetic moment at 0.955 μB/cell. For the density, the calculation gives 3.44 g cm⁻³. Its total DFT energy (no corrections) is -3.250 eV/atom.

***

# 8
YSeBr2 after structural relaxation, computed with GGA-PBE.

a b c (Å): 3.498 3.498 8.691
angles (deg): 90.00 90.00 90.00
Atoms (fractional coordinates):
Y: 0.000 0.000 0.000
Se: 0.000 0.000 0.500
Br: 0.500 0.500 0.191
Br: 0.500 0.500 0.809

Properties
The calculation puts the magnetic moment at 0.000 μB/cell. For the density, the calculation gives 5.12 g cm⁻³. The calculation puts the offset from the most stable computed form at 0.504 eV per atom.

***

# 9
PuGaCuNi after structural relaxation, computed with GGA-PBE.

a b c (Å): 6.427 6.427 6.427
angles (deg): 90.00 90.00 90.00
Atoms (fractional coordinates):
Pu: 0.000 0.000 0.000
Pu: 0.000 0.500 0.500
Pu: 0.500 0.000 0.500
Pu: 0.500 0.500 0.000
Ga: 0.000 0.000 0.500
Ga: 0.000 0.500 0.000
Ga: 0.500 0.000 0.000
Ga: 0.500 0.500 0.500
Cu: 0.250 0.250 0.750
Cu: 0.250 0.750 0.250
Cu: 0.750 0.250 0.250
Cu: 0.750 0.750 0.750
Ni: 0.250 0.250 0.250
Ni: 0.250 0.750 0.750
Ni: 0.750 0.250 0.750
Ni: 0.750 0.750 0.250

Properties
Its formation enthalpy at 0 K is -33 kJ/mol of formula units. The calculation puts the magnetic moment at 19.846 μB/cell. For the density, the calculation gives 10.91 g cm⁻³.

***

# 10
PAu2 after structural relaxation, computed with GGA-PBE.

a b c (Å): 3.413 12.443 5.189
angles (deg): 90.00 90.00 90.00
Atoms (fractional coordinates):
P: 0.000 0.179 0.250
P: 0.000 0.821 0.750
P: 0.500 0.321 0.750
P: 0.500 0.679 0.250
Au: 0.000 0.157 0.750
Au: 0.000 0.466 0.750
Au: 0.000 0.534 0.250
Au: 0.000 0.843 0.250
Au: 0.500 0.034 0.250
Au: 0.500 0.343 0.250
Au: 0.500 0.657 0.750
Au: 0.500 0.966 0.750

Properties
Its formation enthalpy at 0 K is 55 kJ/mol of formula units. The calculation puts the magnetic moment at 0.000 μB/cell. For the density, the calculation gives 12.81 g cm⁻³.

***

# 11
NdRu2O6 after structural relaxation, computed with GGA-PBE.

a b c (Å): 5.262 5.262 5.080
angles (deg): 90.00 90.00 120.00
Atoms (fractional coordinates):
Nd: 0.000 0.000 0.000
Ru: 0.333 0.667 0.500
Ru: 0.667 0.333 0.500
O: 0.000 0.361 0.711
O: 0.000 0.639 0.289
O: 0.361 0.000 0.711
O: 0.361 0.361 0.289
O: 0.639 0.000 0.289
O: 0.639 0.639 0.711

Properties
The calculation puts the magnetic moment at 5.058 μB/cell. For the density, the calculation gives 6.03 g cm⁻³. Its total DFT energy (no corrections) is -7.485 eV/atom.

***

# 12
ZrReNi2 after structural relaxation, computed with GGA-PBE.

a b c (Å): 2.779 2.779 26.569
angles (deg): 90.00 90.00 120.00
Atoms (fractional coordinates):
Zr: 0.000 0.000 0.000
Zr: 0.333 0.667 0.667
Zr: 0.667 0.333 0.333
Re: 0.000 0.000 0.765
Re: 0.333 0.667 0.432
Re: 0.667 0.333 0.099
Ni: 0.000 0.000 0.247
Ni: 0.000 0.000 0.507
Ni: 0.333 0.667 0.174
Ni: 0.333 0.667 0.914
Ni: 0.667 0.333 0.580
Ni: 0.667 0.333 0.840

Properties
Its formation enthalpy at 0 K is 90 kJ/mol of formula units. The calculation puts the magnetic moment at 0.997 μB/cell. For the density, the calculation gives 11.07 g cm⁻³. The calculation puts the offset from the most stable computed form at 0.344 eV per atom.

***

# 13
SbPBr2 after structural relaxation, computed with GGA-PBE.

a b c (Å): 4.028 4.028 8.072
angles (deg): 90.00 90.00 90.00
Atoms (fractional coordinates):
Sb: 0.000 0.000 0.000
P: 0.500 0.500 0.013
Br: 0.000 0.000 0.686
Br: 0.500 0.500 0.294

Properties
The calculation puts the magnetic moment at 0.000 μB/cell. For the density, the calculation gives 3.96 g cm⁻³. The calculation puts the offset from the most stable computed form at 0.000 eV per atom.

***

# 14
DyThCdPb after structural relaxation, computed with GGA-PBE.

a b c (Å): 7.697 7.697 7.697
angles (deg): 90.00 90.00 90.00
Atoms (fractional coordinates):
Dy: 0.000 0.000 0.000
Dy: 0.000 0.500 0.500
Dy: 0.500 0.000 0.500
Dy: 0.500 0.500 0.000
Th: 0.000 0.000 0.500
Th: 0.000 0.500 0.000
Th: 0.500 0.000 0.000
Th: 0.500 0.500 0.500
Cd: 0.250 0.250 0.750
Cd: 0.250 0.750 0.250
Cd: 0.750 0.250 0.250
Cd: 0.750 0.750 0.750
Pb: 0.250 0.250 0.250
Pb: 0.250 0.750 0.750
Pb: 0.750 0.250 0.750
Pb: 0.750 0.750 0.250

Properties
Its formation enthalpy at 0 K is -88 kJ/mol of formula units. The calculation puts the magnetic moment at 0.000 μB/cell. For the density, the calculation gives 10.40 g cm⁻³.

***

# 15
LaTc2Se after structural relaxation, computed with GGA-PBE.

a b c (Å): 3.929 3.943 10.453
angles (deg): 90.00 90.00 90.00
Atoms (fractional coordinates):
La: 0.000 0.000 0.000
La: 0.500 0.500 0.500
Tc: 0.000 0.500 0.250
Tc: 0.000 0.500 0.750
Tc: 0.500 0.000 0.250
Tc: 0.500 0.000 0.750
Se: 0.000 0.000 0.500
Se: 0.500 0.500 0.000

Properties
The calculation puts the magnetic moment at 0.000 μB/cell. For the density, the calculation gives 8.49 g cm⁻³. Its total DFT energy (no corrections) is -7.084 eV/atom.